[1]
Computed, not measured: crystalline Rb3Tl8Hg at its relaxed geometry at the GGA-PBE level of DFT.

Geometry as extended XYZ:
```
12
Lattice="3.400 1.963 10.896 -3.400 1.963 10.896 0.000 -3.926 10.896" Properties=species:S:1:pos:R:3 pbc="T T T"
Rb 0.000 0.000 0.000
Rb 0.000 0.000 4.145
Rb 0.000 0.000 16.709
Tl -1.703 -0.983 13.019
Tl 0.000 -1.953 7.640
Tl -1.691 0.976 7.640
Tl 0.000 0.000 10.336
Tl 1.703 -0.983 13.019
Tl 1.691 0.976 7.640
Tl 0.000 1.966 13.019
Tl 0.000 0.000 26.639
Hg 0.000 0.000 20.838
```

Computed properties:
For the final energy, the calculation gives -1.88 eV per atom. Its space-group type is R3m (160). The energy relative to the lowest polymorph listed for this composition comes out at 16.0 meV/atom. Its energy of formation from the pure elements is -37 meV per atom.

---

[2]
Computed, not measured: crystalline RbTl4Hg8 at its relaxed geometry at the GGA-PBE level of DFT.

Geometry as extended XYZ:
```
13
Lattice="-5.536 5.536 3.312 5.536 -5.536 3.312 5.536 5.536 -3.312" Properties=species:S:1:pos:R:3 pbc="T T T"
Rb 0.000 0.000 0.000
Tl 2.768 2.768 -1.656
Tl 2.768 -2.768 1.656
Tl -2.768 2.768 1.656
Tl 2.768 2.768 1.656
Hg 3.982 0.000 0.000
Hg 7.089 0.000 0.000
Hg 5.536 3.192 0.000
Hg 0.000 3.982 0.000
Hg 3.192 5.536 0.000
Hg 2.343 0.000 3.312
Hg 0.000 7.089 0.000
Hg 0.000 2.343 3.312
```

Computed properties:
For the final energy, the calculation gives -1.03 eV per atom. Its space-group type is I4/mmm (139). Its energy of formation from the pure elements is -39 meV per atom.

---

[3]
Computed, not measured: crystalline RbTlHg10 at its relaxed geometry at the GGA-PBE level of DFT.

Geometry as extended XYZ:
```
12
Lattice="5.575 0.000 0.000 0.000 6.319 0.000 0.000 0.000 10.751" Properties=species:S:1:pos:R:3 pbc="T T T"
Rb 0.000 0.000 0.000
Tl 0.000 3.159 5.375
Hg 0.000 0.000 3.706
Hg 0.000 0.000 7.045
Hg 0.000 3.159 1.951
Hg 0.000 3.159 8.800
Hg 2.788 0.000 5.375
Hg 2.788 1.573 2.698
Hg 2.788 1.573 8.052
Hg 2.788 3.159 0.000
Hg 2.788 4.746 2.698
Hg 2.788 4.746 8.052
```

Computed properties:
For the final energy, the calculation gives -0.59 eV per atom. Its space-group type is Pmmm (47). Its energy of formation from the pure elements is -59 meV per atom.